## Rb2CdAu2 (GGA-PBEsol)

Data for a geometry-optimized Rb2CdAu2 structure.

Lattice parameters (Å, degrees): 6.1287 6.1287 6.1287 98.41 115.27 115.27
Last column: nearest neighbours and their distance in Å.
Fractional positions:
Rb 0.5000 0.2500 0.7500  4 Au 3.35
Rb 0.5000 0.7500 0.2500  4 Au 3.35
Au 0.0000 0.6643 0.6643  1 Au 2.63, 1 Cd 2.69
Au 0.0000 0.3357 0.3357  1 Au 2.63, 1 Cd 2.69
Cd 0.0000 0.0000 0.0000  2 Au 2.69

Summary:
- Fermi-level density of states (states/eV per cell) = 1.59
- energy relative to the lowest polymorph listed for this composition (meV per atom) = 40
- energy of formation (eV per atom) = -0.0598
- symmetry = I4/mmm

---

## Te2IrCl (GGA-PBEsol)

Data for a geometry-optimized Te2IrCl structure.

Lattice parameters (Å, degrees): 3.1472 3.4451 7.7842 90.00 90.00 90.00
Last column: nearest neighbours and their distance in Å.
Fractional positions:
Cl 0.5000 0.5000 0.0000  4 Cl 3.15-3.45, 8 Te 3.26
Te 0.0000 0.0000 0.7077  4 Ir 2.84, 2 Te 3.15
Te 0.0000 0.0000 0.2923  4 Ir 2.84, 2 Te 3.15
Ir 0.5000 0.5000 0.5000  8 Te 2.84, 2 Ir 3.15

Summary:
- formation energy from raw total energies (eV/atom) = 0.017
- Fermi-level density of states (states/eV per cell) = 1.46
- energy relative to the lowest polymorph listed for this composition (meV per atom) = 0
- symmetry = Pmmm

---

## Ta2PtCl (GGA-PBEsol)

Data for a geometry-optimized Ta2PtCl structure.

Lattice parameters (Å, degrees): 2.8392 2.8392 8.8875 90.00 90.00 112.55
Last column: nearest neighbours and their distance in Å.
Fractional positions:
Cl 0.5000 0.5000 0.5000  4 Ta 2.72, 4 Cl 2.84
Ta 0.0000 0.0000 0.7498  2 Cl 2.72, 2 Pt 2.73, 4 Ta 2.84
Ta 0.0000 0.0000 0.2502  2 Cl 2.72, 2 Pt 2.73, 4 Ta 2.84
Pt 0.5000 0.5000 0.0000  4 Ta 2.73, 4 Pt 2.84

Summary:
- formation energy from raw total energies (eV/atom) = 0.045
- Fermi-level density of states (states/eV per cell) = 2.82
- energy relative to the lowest polymorph listed for this composition (meV per atom) = 203
- symmetry = Cmmm

---

## Zn3AgMo (GGA-PBEsol)

Data for a geometry-optimized Zn3AgMo structure.

Lattice parameters (Å, degrees): 4.7713 4.7713 4.7713 90.00 90.00 90.00
Last column: nearest neighbours and their distance in Å.
Fractional positions:
Zn 0.5000 0.0000 0.0000  2 Mo 2.39
Zn 0.0000 0.5000 0.0000  2 Mo 2.39
Zn 0.0000 0.0000 0.5000  2 Mo 2.39
Mo 0.0000 0.0000 0.0000  6 Zn 2.39
Ag 0.5000 0.5000 0.5000  12 Zn 3.37

Summary:
- Fermi-level density of states (states/eV per cell) = 4.27
- energy of formation (eV per atom) = 1.2269
- symmetry = Pm-3m

---

Let's list size of the total moment in order: 0.000; 0.000; 0.000; 0.001 μB/atom.